# Cs2V2InF7, relaxed, DFT GGA+U
data_Cs2V2InF7
_chemical_formula_sum 'Cs8 V8 In4 F28'
_symmetry_space_group_name_H-M 'F m m m'
_symmetry_Int_Tables_number 69
_symmetry_space_group_name_Hall '-F 2 2'
_cell_length_a 6.095
_cell_length_b 6.103
_cell_length_c 23.543
_cell_angle_alpha 90.00
_cell_angle_beta 90.00
_cell_angle_gamma 90.00
loop_
_atom_site_label
_atom_site_type_symbol
_atom_site_fract_x
_atom_site_fract_y
_atom_site_fract_z
Cs1 Cs 0.000 0.000 0.185
V1 V 0.000 0.000 0.409
In1 In 0.000 0.000 0.000
F1 F 0.000 0.000 0.319
F2 F 0.000 0.000 0.500
F3 F 0.250 0.250 0.091
# - raw total energy (eV per atom) = -5.24
# - magnetization (Bohr magnetons per cell) = 24.0
# - N(E_F) (states/eV/cell) = 0.000